Nd6Cd5Hg after structural relaxation, computed with PBE.

Cell lengths 5.4338, 7.7369, 8.6014 Å; angles 90.00, 71.59, 90.00 degrees
Closest atoms and distances in Å follow each position.
Atoms (fractional coordinates):
Cd  0.3302  0.0000  0.3396  8 Nd 3.31-3.37
Nd  0.8345  0.7500  0.3310  7 Cd 3.31-3.34, 1 Hg 3.32
Nd  0.5000  0.2480  0.0000  2 Hg 3.33, 6 Cd 3.34-3.37
Nd  0.5000  0.7520  0.0000  2 Hg 3.33, 6 Cd 3.34-3.37
Cd  0.3325  0.5000  0.3351  8 Nd 3.34-3.36
Nd  0.1655  0.7500  0.6690  7 Cd 3.31-3.34, 1 Hg 3.32
Nd  0.8345  0.2500  0.3310  7 Cd 3.31-3.34, 1 Hg 3.32
Hg  0.0000  0.0000  0.0000  8 Nd 3.32-3.33
Nd  0.1655  0.2500  0.6690  7 Cd 3.31-3.34, 1 Hg 3.32
Cd  0.0000  0.5000  0.0000  8 Nd 3.32-3.34
Cd  0.6675  0.5000  0.6649  8 Nd 3.34-3.36
Cd  0.6698  0.0000  0.6604  8 Nd 3.31-3.37

Energy of formation ... -0.34 eV/atom
Magnetization ... 2.561 μB per formula unit
Fermi-level density of states ... 1.156 states/eV per atom


CsKPt4 after structural relaxation, computed with PBE.

Cell lengths 5.6448, 5.6448, 5.6448 Å; angles 60.00, 60.00, 60.00 degrees
Closest atoms and distances in Å follow each position.
Atoms (fractional coordinates):
Pt  0.6253  0.6253  0.6253  6 Pt 2.82-2.83
Pt  0.6253  0.1241  0.6253  6 Pt 2.82-2.83
Pt  0.1241  0.6253  0.6253  6 Pt 2.82-2.83
K  0.0000  0.0000  0.0000  12 Pt 3.31, 4 Cs 3.46
Pt  0.6253  0.6253  0.1241  6 Pt 2.82-2.83
Cs  0.2500  0.2500  0.2500  12 Pt 3.31, 4 K 3.46

Energy of formation ... -0.02 eV/atom
Magnetization ... 0.000 μB per formula unit
Fermi-level density of states ... 0.662 states/eV per atom


Ta2As2Pb after structural relaxation, computed with PBE.

Cell lengths 7.6439, 7.6439, 3.3060 Å; angles 90.00, 90.00, 90.00 degrees
Closest atoms and distances in Å follow each position.
Atoms (fractional coordinates):
Pb  0.5000  0.5000  0.0000  4 Ta 2.94
Ta  0.1426  0.3574  0.0000  6 As 2.72-2.87, 2 Pb 2.94
Ta  0.8574  0.6426  0.0000  6 As 2.72-2.87, 2 Pb 2.94
Ta  0.3574  0.8574  0.0000  6 As 2.72-2.87, 2 Pb 2.94
As  0.3599  0.1401  0.5000  6 Ta 2.72-2.87, 1 As 3.03
As  0.8599  0.3599  0.5000  6 Ta 2.72-2.87, 1 As 3.03
As  0.1401  0.6401  0.5000  6 Ta 2.72-2.87, 1 As 3.03
As  0.6401  0.8599  0.5000  6 Ta 2.72-2.87, 1 As 3.03
Pb  0.0000  0.0000  0.0000  4 Ta 2.94
Ta  0.6426  0.1426  0.0000  6 As 2.72-2.87, 2 Pb 2.94

Energy of formation ... -0.06 eV/atom
Magnetization ... 0.000 μB per formula unit
Fermi-level density of states ... 0.457 states/eV per atom


LaZn2Rh2 after structural relaxation, computed with PBE.

Cell lengths 4.5041, 4.5041, 5.6389 Å; angles 66.46, 66.46, 90.00 degrees
Closest atoms and distances in Å follow each position.
Atoms (fractional coordinates):
Rh  0.2500  0.7500  0.5000  4 Zn 2.51
Zn  0.6316  0.6316  0.7369  1 Zn 2.45, 4 Rh 2.51
Rh  0.7500  0.2500  0.5000  4 Zn 2.51
La  0.0000  0.0000  0.0000  8 Rh 3.24, 10 Zn 3.41-3.43
Zn  0.3684  0.3684  0.2631  1 Zn 2.45, 4 Rh 2.51

Distance to the lowest polymorph of the same formula ... 0.00 eV/f.u.
Energy of formation ... -0.54 eV/atom
Magnetization ... 0.000 μB per formula unit
Fermi-level density of states ... 0.384 states/eV per atom


FeRe2Au after structural relaxation, computed with PBE.

Cell lengths 2.6974, 2.6974, 8.9999 Å; angles 90.00, 90.00, 111.32 degrees
Closest atoms and distances in Å follow each position.
Atoms (fractional coordinates):
Re  0.5000  0.5000  0.2338  6 Re 2.66-2.70, 2 Au 2.93
Au  0.0000  0.0000  0.5125  4 Au 2.70, 2 Fe 2.72, 2 Re 2.93
Re  0.0000  0.0000  0.9910  2 Fe 2.56, 6 Re 2.66-2.70
Fe  0.5000  0.5000  0.7627  2 Re 2.56, 4 Fe 2.70, 2 Au 2.72

Distance to the lowest polymorph of the same formula ... 0.45 eV/f.u.
Energy of formation ... 0.33 eV/atom
Magnetization ... 2.695 μB per formula unit
Fermi-level density of states ... 0.730 states/eV per atom


In2Ga3Pb2 after structural relaxation, computed with PBE.

Cell lengths 3.4079, 6.2358, 8.6524 Å; angles 83.49, 90.62, 74.83 degrees
Closest atoms and distances in Å follow each position.
Atoms (fractional coordinates):
Ga  0.0000  0.0000  0.0000  4 In 3.13-3.16, 4 Pb 3.30-3.34, 2 Ga 3.41
In  0.4648  0.0742  0.2945  6 Ga 3.10-3.16, 2 In 3.41, 3 Pb 3.41-3.46
In  0.5352  0.9258  0.7055  6 Ga 3.10-3.16, 2 In 3.41, 3 Pb 3.41-3.46
Pb  0.2723  0.4395  0.8348  5 Ga 3.28-3.35, 4 Pb 3.41-3.49, 3 In 3.41-3.46
Pb  0.7277  0.5605  0.1652  5 Ga 3.28-3.35, 4 Pb 3.41-3.49, 3 In 3.41-3.46
Ga  0.1541  0.6884  0.4711  2 Ga 2.81-2.85, 4 In 3.10-3.15
Ga  0.8459  0.3116  0.5289  2 Ga 2.81-2.85, 4 In 3.10-3.15

Energy of formation ... 0.05 eV/atom
Magnetization ... 0.000 μB per formula unit
Fermi-level density of states ... 0.248 states/eV per atom


K3CaAu after structural relaxation, computed with PBE.

Cell lengths 7.4397, 7.4397, 7.4397 Å; angles 90.00, 90.00, 90.00 degrees
Closest atoms and distances in Å follow each position.
Atoms (fractional coordinates):
K  0.0000  0.5000  0.0000  2 Ca 3.72
Au  0.5000  0.5000  0.5000  12 K 5.26
K  0.5000  0.0000  0.0000  2 Ca 3.72
K  0.0000  0.0000  0.5000  2 Ca 3.72
Ca  0.0000  0.0000  0.0000  6 K 3.72

Distance to the lowest polymorph of the same formula ... 2.87 eV/f.u.
Energy of formation ... 0.62 eV/atom
Magnetization ... 1.593 μB per formula unit
Fermi-level density of states ... 1.165 states/eV per atom


Li3MnCl6 after structural relaxation, computed with PBE.

Cell lengths 7.5342, 7.5342, 7.5342 Å; angles 93.66, 93.66, 93.66 degrees
Closest atoms and distances in Å follow each position.
Atoms (fractional coordinates):
Cl  0.1994  0.5263  0.4366  1 Mn 2.31, 1 Li 2.51
Mn  0.5000  0.5000  0.5000  6 Cl 2.31
Li  0.4216  0.8885  0.7889  5 Cl 2.50-2.73
Cl  0.4366  0.1994  0.5263  1 Mn 2.31, 1 Li 2.51
Li  0.8885  0.7889  0.4216  5 Cl 2.50-2.73
Cl  0.0842  0.9058  0.6918  3 Li 2.50-2.61, 1 Mn 2.52
Li  0.5784  0.1115  0.2111  5 Cl 2.50-2.73
Li  0.7889  0.4216  0.8885  5 Cl 2.50-2.73
Cl  0.8006  0.4737  0.5634  1 Mn 2.31, 1 Li 2.51
Cl  0.0942  0.3082  0.9158  3 Li 2.50-2.61, 1 Mn 2.52
Cl  0.5263  0.4366  0.1994  1 Mn 2.31, 1 Li 2.51
Cl  0.6918  0.0842  0.9058  3 Li 2.50-2.61, 1 Mn 2.52
Li  0.2111  0.5784  0.1115  5 Cl 2.50-2.73
Cl  0.4737  0.5634  0.8006  1 Mn 2.31, 1 Li 2.51
Li  0.1115  0.2111  0.5784  5 Cl 2.50-2.73
Cl  0.9158  0.0942  0.3082  3 Li 2.50-2.61, 1 Mn 2.52
Cl  0.5634  0.8006  0.4737  1 Mn 2.31, 1 Li 2.51
Cl  0.9058  0.6918  0.0842  3 Li 2.50-2.61, 1 Mn 2.52
Mn  0.0000  0.0000  0.0000  6 Cl 2.52
Cl  0.3082  0.9158  0.0942  3 Li 2.50-2.61, 1 Mn 2.52

Distance to the lowest polymorph of the same formula ... 0.04 eV/f.u.
Formation energy without anion corrections ... -1.425 eV/atom
Magnetization ... 4.000 μB per formula unit
Fermi-level density of states ... 0.405 states/eV per atom


FeTcSCl2 after structural relaxation, computed with PBE.

Cell lengths 4.6940, 4.6940, 4.6672 Å; angles 90.00, 90.00, 90.00 degrees
Closest atoms and distances in Å follow each position.
Atoms (fractional coordinates):
Cl  0.0000  0.5000  0.0000  2 Fe 2.35
Fe  0.0000  0.0000  0.0000  2 S 2.33, 4 Cl 2.35
Tc  0.5000  0.5000  0.5000  8 Cl 3.31, 4 S 3.32
S  0.0000  0.0000  0.5000  2 Fe 2.33
Cl  0.5000  0.0000  0.0000  2 Fe 2.35

Distance to the lowest polymorph of the same formula ... 0.13 eV/f.u.
Formation energy without anion corrections ... 0.490 eV/atom
Magnetization ... 1.435 μB per formula unit
Fermi-level density of states ... 1.054 states/eV per atom


Tm2ScTe3 after structural relaxation, computed with PBE.

Cell lengths 4.2760, 6.0151, 7.3687 Å; angles 114.09, 106.87, 90.00 degrees
Closest atoms and distances in Å follow each position.
Atoms (fractional coordinates):
Te  0.8396  0.3396  0.1793  2 Sc 2.96, 4 Tm 3.01-3.03
Sc  0.5000  0.5000  0.5000  6 Te 2.96-3.01
Tm  0.1712  0.1712  0.8424  6 Te 3.01-3.06
Te  0.5000  0.0000  0.5000  2 Sc 3.01, 4 Tm 3.06
Te  0.1604  0.6604  0.8207  2 Sc 2.96, 4 Tm 3.01-3.03
Tm  0.8288  0.8288  0.1576  6 Te 3.01-3.06

Distance to the lowest polymorph of the same formula ... 0.25 eV/f.u.
Formation energy without anion corrections ... -1.143 eV/atom
Magnetization ... 0.001 μB per formula unit
Fermi-level density of states ... 0.566 states/eV per atom


BaLa4Co after structural relaxation, computed with PBE.

Cell lengths 6.6845, 6.6845, 6.6845 Å; angles 60.00, 60.00, 60.00 degrees
Closest atoms and distances in Å follow each position.
Atoms (fractional coordinates):
Co  0.0000  0.0000  0.0000  12 La 3.91, 4 Ba 4.09
Ba  0.7500  0.7500  0.7500  12 La 3.93, 4 Co 4.09
La  0.3707  0.8878  0.3707  6 La 3.23-3.46
La  0.3707  0.3707  0.8878  6 La 3.23-3.46
La  0.3707  0.3707  0.3707  6 La 3.23-3.46
La  0.8878  0.3707  0.3707  6 La 3.23-3.46

Energy of formation ... 0.70 eV/atom
Magnetization ... 1.645 μB per formula unit
Fermi-level density of states ... 2.258 states/eV per atom


ThZnGaCu6 after structural relaxation, computed with PBE.

Cell lengths 7.7656, 5.3621, 8.3459 Å; angles 108.74, 117.73, 90.00 degrees
Closest atoms and distances in Å follow each position.
Atoms (fractional coordinates):
Zn  0.0000  0.0000  0.5000  6 Cu 2.42-2.54
Th  0.7409  0.4909  0.4818  10 Cu 2.99-3.23, 4 Zn 3.31
Ga  0.5000  0.5000  0.0000  6 Cu 2.40-2.53, 2 Ga 2.68
Cu  0.1255  0.8996  0.8088  6 Cu 2.51-2.73, 1 Ga 2.53, 1 Zn 2.54
Ga  0.5000  0.0000  0.0000  6 Cu 2.40-2.53, 2 Ga 2.68
Cu  0.3167  0.5908  0.1912  6 Cu 2.51-2.73, 1 Ga 2.53, 1 Zn 2.54
Th  0.2591  0.5091  0.5182  10 Cu 2.99-3.23, 4 Zn 3.31
Cu  0.6833  0.4092  0.8088  6 Cu 2.51-2.73, 1 Ga 2.53, 1 Zn 2.54
Zn  0.5000  0.0000  0.5000  6 Cu 2.42-2.54
Cu  0.3551  0.1051  0.7102  2 Ga 2.40, 2 Zn 2.42, 4 Cu 2.65
Cu  0.8745  0.5908  0.1912  6 Cu 2.51-2.73, 1 Ga 2.53, 1 Zn 2.54
Cu  0.1255  0.4092  0.8088  6 Cu 2.51-2.73, 1 Ga 2.53, 1 Zn 2.54
Cu  0.0035  0.2535  0.0070  10 Cu 2.51-2.68
Cu  0.9965  0.7465  0.9930  10 Cu 2.51-2.68
Cu  0.8745  0.1004  0.1912  6 Cu 2.51-2.73, 1 Ga 2.53, 1 Zn 2.54
Cu  0.3167  0.1004  0.1912  6 Cu 2.51-2.73, 1 Ga 2.53, 1 Zn 2.54
Cu  0.6449  0.8949  0.2898  2 Ga 2.40, 2 Zn 2.42, 4 Cu 2.65
Cu  0.6833  0.8996  0.8088  6 Cu 2.51-2.73, 1 Ga 2.53, 1 Zn 2.54

Energy of formation ... -0.04 eV/atom
Magnetization ... 0.000 μB per formula unit
Fermi-level density of states ... 0.581 states/eV per atom